Entry 1:
Crystalline TlFe2Te at its relaxed geometry. Source: Alexandria via LeMat-Bulk, functional PBE.

Calculated values
For the calculated volume, the calculation gives 87.1 Å³/cell. As for the total energy: -20.383 eV/f.u. The density is 8.456 g cm⁻³. For the uncorrected formation energy, the calculation gives 0.513 eV/atom.

Lattice parameters (Å, degrees): 3.257 4.095 6.532 90.00 90.00 90.00
Site moments in Bohr magnetons follow the coordinates.
Fractional positions:
Fe: 0.000 0.250 0.568  2.67
Fe: 0.000 0.250 0.932  2.67
Te: 0.500 0.250 0.250  0.05
Tl: 0.500 0.750 0.750  -0.06


Entry 2:
Crystalline TlFe2Te at its relaxed geometry. Source: Alexandria via LeMat-Bulk, functional PBE.

Calculated values
For the calculated volume, the calculation gives 81.2 Å³/cell. As for the total energy: -20.678 eV/f.u. The density is 9.073 g cm⁻³. For the uncorrected formation energy, the calculation gives 0.439 eV/atom.

Lattice parameters (Å, degrees): 6.412 6.412 6.412 152.22 138.39 50.77
Site moments in Bohr magnetons follow the coordinates.
Fractional positions:
Tl: 0.277 0.777 0.500  -0.05
Fe: 0.754 0.254 0.500  2.40
Fe: 0.920 0.920 0.000  2.83
Te: 0.549 0.549 0.000  0.01


Entry 3:
Crystalline TlFeTe at its relaxed geometry. Source: Alexandria via LeMat-Bulk, functional PBE.

Calculated values
For the calculated volume, the calculation gives 71.7 Å³/cell. As for the total energy: -13.093 eV/f.u. The density is 8.979 g cm⁻³. For the uncorrected formation energy, the calculation gives 0.292 eV/atom.

Lattice parameters (Å, degrees): 6.830 6.831 6.831 151.65 151.65 40.53
Site moments in Bohr magnetons follow the coordinates.
Fractional positions:
Tl: 0.642 0.642 0.000  0.00
Fe: 0.975 0.975 0.000  2.13
Te: 0.383 0.383 0.000  -0.06


Entry 4:
Crystalline Tl2FeTe at its relaxed geometry. Source: Alexandria via LeMat-Bulk, functional PBE.

Calculated values
For the calculated volume, the calculation gives 109.9 Å³/cell. As for the total energy: -13.943 eV/f.u. The density is 8.948 g cm⁻³. For the uncorrected formation energy, the calculation gives 0.599 eV/atom.

Lattice parameters (Å, degrees): 5.377 5.377 5.377 60.00 60.00 60.00
Site moments in Bohr magnetons follow the coordinates.
Fractional positions:
Te: 0.500 0.500 0.500  0.12
Fe: 0.000 0.000 0.000  3.16
Tl: 0.250 0.250 0.250  0.00
Tl: 0.750 0.750 0.750  0.00


Entry 5:
Crystalline TlFeTe at its relaxed geometry. Source: Alexandria via LeMat-Bulk, functional PBE.

Calculated values
For the calculated volume, the calculation gives 75.8 Å³/cell. As for the total energy: -12.952 eV/f.u. The density is 8.501 g cm⁻³. For the uncorrected formation energy, the calculation gives 0.340 eV/atom.

Lattice parameters (Å, degrees): 4.749 4.749 4.749 60.00 60.00 60.00
Site moments in Bohr magnetons follow the coordinates.
Fractional positions:
Te: 0.000 0.000 0.000  0.08
Fe: 0.250 0.250 0.250  2.84
Tl: 0.500 0.500 0.500  0.00


Entry 6:
Crystalline TlFe2Te at its relaxed geometry. Source: Alexandria via LeMat-Bulk, functional PBE.

Calculated values
For the calculated volume, the calculation gives 73.7 Å³/cell. As for the total energy: -19.982 eV/f.u. The density is 10.001 g cm⁻³. For the uncorrected formation energy, the calculation gives 0.613 eV/atom.

Lattice parameters (Å, degrees): 4.660 7.425 3.392 62.53 90.21 128.96
Site moments in Bohr magnetons follow the coordinates.
Fractional positions:
Te: 0.500 0.500 0.000  -0.03
Fe: 0.000 0.500 0.500  2.57
Fe: 0.000 0.000 0.000  2.57
Tl: 0.500 0.000 0.500  -0.04


Entry 7:
Crystalline Tl2FeTe at its relaxed geometry. Source: Alexandria via LeMat-Bulk, functional PBE.

Calculated values
For the calculated volume, the calculation gives 105.8 Å³/cell. As for the total energy: -14.373 eV/f.u. The density is 9.297 g cm⁻³. For the uncorrected formation energy, the calculation gives 0.491 eV/atom.

Lattice parameters (Å, degrees): 5.771 5.771 5.771 131.44 131.44 71.12
Site moments in Bohr magnetons follow the coordinates.
Fractional positions:
Tl: 0.000 0.000 0.000  0.01
Tl: 0.250 0.750 0.500  0.00
Fe: 0.500 0.500 0.000  3.11
Te: 0.750 0.250 0.500  0.04


Entry 8:
Crystalline Tl3FeTe at its relaxed geometry. Source: Alexandria via LeMat-Bulk, functional PBE.

Calculated values
For the calculated volume, the calculation gives 146.7 Å³/cell. As for the total energy: -17.375 eV/f.u. The density is 9.016 g cm⁻³. For the uncorrected formation energy, the calculation gives 0.266 eV/atom.

Lattice parameters (Å, degrees): 5.274 5.274 5.274 90.00 90.00 90.00
Site moments in Bohr magnetons follow the coordinates.
Fractional positions:
Te: 0.500 0.500 0.500  0.14
Tl: 0.000 0.000 0.500  0.00
Tl: 0.000 0.500 0.000  -0.04
Tl: 0.500 0.000 0.000  -0.06
Fe: 0.000 0.000 0.000  2.38


Entry 9:
Crystalline TlFeTe at its relaxed geometry. Source: Alexandria via LeMat-Bulk, functional PBE.

Calculated values
For the calculated volume, the calculation gives 70.4 Å³/cell. As for the total energy: -13.173 eV/f.u. The density is 9.145 g cm⁻³. For the uncorrected formation energy, the calculation gives 0.266 eV/atom.

Lattice parameters (Å, degrees): 3.578 3.578 6.351 90.00 90.00 120.00
Site moments in Bohr magnetons follow the coordinates.
Fractional positions:
Tl: 0.333 0.667 0.716  -0.02
Te: 0.667 0.333 0.261  -0.07
Fe: 0.000 0.000 0.022  2.16


Entry 10:
Crystalline TlFe2Te at its relaxed geometry. Source: Alexandria via LeMat-Bulk, functional PBE.

Calculated values
For the calculated volume, the calculation gives 82.5 Å³/cell. As for the total energy: -20.933 eV/f.u. The density is 8.935 g cm⁻³. For the uncorrected formation energy, the calculation gives 0.375 eV/atom.

Lattice parameters (Å, degrees): 8.728 8.728 8.728 22.09 22.09 22.09
Site moments in Bohr magnetons follow the coordinates.
Fractional positions:
Tl: 0.735 0.735 0.735  0.03
Fe: 0.984 0.984 0.984  2.77
Fe: 0.258 0.258 0.258  2.25
Te: 0.523 0.523 0.523  -0.09


Entry 11:
Crystalline TlFe2Te2 at its relaxed geometry. Source: Alexandria via LeMat-Bulk, functional PBE.

Calculated values
For the calculated volume, the calculation gives 116.6 Å³/cell. As for the total energy: -25.254 eV/f.u. The density is 8.137 g cm⁻³. For the uncorrected formation energy, the calculation gives 0.064 eV/atom.

Lattice parameters (Å, degrees): 4.022 4.022 7.749 74.96 74.96 90.00
Fractional positions:
Te: 0.351 0.351 0.299
Te: 0.649 0.649 0.701
Fe: 0.750 0.250 0.500
Fe: 0.250 0.750 0.500
Tl: 0.000 0.000 0.000


Entry 12:
Crystalline Tl2FeTe at its relaxed geometry. Source: Alexandria via LeMat-Bulk, functional PBE.

Calculated values
For the calculated volume, the calculation gives 109.0 Å³/cell. As for the total energy: -15.420 eV/f.u. The density is 9.021 g cm⁻³. For the uncorrected formation energy, the calculation gives 0.229 eV/atom.

Lattice parameters (Å, degrees): 8.192 8.192 4.211 74.97 74.97 23.58
Site moments in Bohr magnetons follow the coordinates.
Fractional positions:
Te: 0.750 0.750 0.750  0.01
Tl: 0.924 0.924 0.076  -0.03
Tl: 0.576 0.576 0.424  -0.03
Fe: 0.250 0.250 0.250  2.55


Entry 13:
Crystalline Tl2FeTe at its relaxed geometry. Source: Alexandria via LeMat-Bulk, functional PBE.

Calculated values
For the calculated volume, the calculation gives 99.9 Å³/cell. As for the total energy: -14.443 eV/f.u. The density is 9.841 g cm⁻³. For the uncorrected formation energy, the calculation gives 0.474 eV/atom.

Lattice parameters (Å, degrees): 3.261 3.261 9.399 90.00 90.00 89.96
Site moments in Bohr magnetons follow the coordinates.
Fractional positions:
Fe: 0.500 0.500 0.250  2.71
Tl: 0.000 0.000 0.439  -0.02
Tl: 0.000 0.000 0.061  -0.02
Te: 0.500 0.500 0.750  -0.02


Entry 14:
Crystalline Tl2FeTe at its relaxed geometry. Source: Alexandria via LeMat-Bulk, functional PBE.

Calculated values
For the calculated volume, the calculation gives 108.0 Å³/cell. As for the total energy: -14.586 eV/f.u. The density is 9.103 g cm⁻³. For the uncorrected formation energy, the calculation gives 0.438 eV/atom.

Lattice parameters (Å, degrees): 6.593 6.593 4.256 71.91 71.91 126.39
Site moments in Bohr magnetons follow the coordinates.
Fractional positions:
Te: 0.000 0.500 0.500  0.05
Fe: 0.500 0.000 0.500  3.13
Tl: 0.500 0.500 0.000  -0.01
Tl: 0.000 0.000 0.000  -0.01